Record 1
The following is a PBE calculation of a relaxed K2InGe2O6 crystal, from Alexandria via LeMat-Bulk.

```
data_K2InGe2O6
_space_group_name_H-M_alt 'P 1'
_space_group_IT_number 1
_space_group_name_Hall 'P 1'
_cell_length_a 5.9299
_cell_length_b 5.9299
_cell_length_c 6.8391
_cell_angle_alpha 64.31
_cell_angle_beta 64.31
_cell_angle_gamma 60.00
loop_
_atom_site_label
_atom_site_type_symbol
_atom_site_fract_x
_atom_site_fract_y
_atom_site_fract_z
_atom_site_occupancy
O1 O 0.7574 0.2537 0.2314 1
O2 O 0.7463 0.2426 0.7686 1
O3 O 0.7574 0.7574 0.2314 1
O4 O 0.2537 0.7574 0.2314 1
O5 O 0.2426 0.7463 0.7686 1
O6 O 0.2426 0.2426 0.7686 1
Ge1 Ge 0.5748 0.5748 0.2757 1
Ge2 Ge 0.4252 0.4252 0.7243 1
K1 K 0.7898 0.7898 0.6307 1
K2 K 0.2102 0.2102 0.3693 1
In1 In 0.0000 0.0000 0.0000 1
```

Output
size of the total moment = 0.00 Bohr magnetons per cell
D(E_F) = 1.8 states/eV per cell
E_form (uncorrected) = -1.53 eV/atom

=====

Record 2
The following is a PBE calculation of a relaxed KInGe2O6 crystal, from Alexandria via LeMat-Bulk.

```
data_KInGe2O6
_space_group_name_H-M_alt 'P 1'
_space_group_IT_number 1
_space_group_name_Hall 'P 1'
_cell_length_a 7.1352
_cell_length_b 7.1352
_cell_length_c 5.7204
_cell_angle_alpha 78.84
_cell_angle_beta 78.84
_cell_angle_gamma 85.06
loop_
_atom_site_label
_atom_site_type_symbol
_atom_site_fract_x
_atom_site_fract_y
_atom_site_fract_z
_atom_site_occupancy
O1 O 0.0380 0.1816 0.3709 1
O2 O 0.3342 0.3661 0.5244 1
O3 O 0.6658 0.6339 0.4756 1
O4 O 0.3975 0.9052 0.2854 1
O5 O 0.6339 0.6658 0.9756 1
O6 O 0.3661 0.3342 0.0244 1
O7 O 0.6025 0.0948 0.7146 1
O8 O 0.8184 0.9620 0.1291 1
O9 O 0.0948 0.6025 0.2146 1
O10 O 0.9620 0.8184 0.6291 1
O11 O 0.9052 0.3975 0.7854 1
O12 O 0.1816 0.0380 0.8709 1
Ge1 Ge 0.3735 0.1954 0.7920 1
Ge2 Ge 0.6265 0.8046 0.2080 1
Ge3 Ge 0.1954 0.3735 0.2920 1
Ge4 Ge 0.8046 0.6265 0.7080 1
In1 In 0.1039 0.8961 0.2500 1
In2 In 0.8961 0.1039 0.7500 1
K1 K 0.6880 0.3120 0.2500 1
K2 K 0.3120 0.6880 0.7500 1
```

Output
size of the total moment = 0.00 Bohr magnetons per cell
D(E_F) = 0.0 states/eV per cell
E_form (uncorrected) = -1.71 eV/atom

=====

Record 3
The following is a PBE calculation of a relaxed K2InGeO5 crystal, from Alexandria via LeMat-Bulk.

```
data_K2InGeO5
_space_group_name_H-M_alt 'P 1'
_space_group_IT_number 1
_space_group_name_Hall 'P 1'
_cell_length_a 3.3406
_cell_length_b 6.7196
_cell_length_c 13.0234
_cell_angle_alpha 90.00
_cell_angle_beta 90.00
_cell_angle_gamma 104.39
loop_
_atom_site_label
_atom_site_type_symbol
_atom_site_fract_x
_atom_site_fract_y
_atom_site_fract_z
_atom_site_occupancy
In1 In 0.7831 0.5663 0.5295 1
In2 In 0.2169 0.4337 0.0295 1
O1 O 0.6227 0.2453 0.4773 1
O2 O 0.2753 0.5506 0.6334 1
O3 O 0.5025 0.0050 0.3137 1
O4 O 0.0387 0.0774 0.0171 1
O5 O 0.9613 0.9226 0.5171 1
O6 O 0.6656 0.3311 0.9259 1
O7 O 0.4975 0.9950 0.8137 1
O8 O 0.3773 0.7547 0.9773 1
O9 O 0.7247 0.4494 0.1334 1
O10 O 0.3344 0.6689 0.4259 1
K1 K 0.8304 0.6608 0.7981 1
K2 K 0.0803 0.1606 0.6810 1
K3 K 0.9197 0.8394 0.1810 1
K4 K 0.1696 0.3392 0.2981 1
Ge1 Ge 0.5172 0.0344 0.9478 1
Ge2 Ge 0.4828 0.9656 0.4478 1
```

Output
size of the total moment = 2.04 Bohr magnetons per cell
D(E_F) = 7.4 states/eV per cell
E_form (uncorrected) = -1.42 eV/atom

=====

Record 4
The following is a PBE calculation of a relaxed KInGeO4 crystal, from Alexandria via LeMat-Bulk.

```
data_KInGeO4
_space_group_name_H-M_alt 'P 1'
_space_group_IT_number 1
_space_group_name_Hall 'P 1'
_cell_length_a 5.6418
_cell_length_b 5.8392
_cell_length_c 7.4017
_cell_angle_alpha 90.00
_cell_angle_beta 109.05
_cell_angle_gamma 90.00
loop_
_atom_site_label
_atom_site_type_symbol
_atom_site_fract_x
_atom_site_fract_y
_atom_site_fract_z
_atom_site_occupancy
In1 In 0.8059 0.7500 0.4624 1
In2 In 0.1941 0.2500 0.5376 1
O1 O 0.4547 0.7500 0.1983 1
O2 O 0.5453 0.2500 0.8017 1
O3 O 0.4929 0.7500 0.5748 1
O4 O 0.0350 0.5246 0.3229 1
O5 O 0.0350 0.9754 0.3229 1
O6 O 0.9650 0.4754 0.6771 1
O7 O 0.5071 0.2500 0.4252 1
O8 O 0.9650 0.0246 0.6771 1
K1 K 0.3132 0.2500 0.0607 1
K2 K 0.6868 0.7500 0.9393 1
Ge1 Ge 0.2645 0.7500 0.3463 1
Ge2 Ge 0.7355 0.2500 0.6537 1
```

Output
size of the total moment = 0.00 Bohr magnetons per cell
D(E_F) = 0.0 states/eV per cell
E_form (uncorrected) = -1.63 eV/atom

=====

Record 5
The following is a PBE calculation of a relaxed KInGe2O6 crystal, from Alexandria via LeMat-Bulk.

```
data_KInGe2O6
_space_group_name_H-M_alt 'P 1'
_space_group_IT_number 1
_space_group_name_Hall 'P 1'
_cell_length_a 5.4429
_cell_length_b 7.6372
_cell_length_c 7.6372
_cell_angle_alpha 93.16
_cell_angle_beta 81.34
_cell_angle_gamma 81.34
loop_
_atom_site_label
_atom_site_type_symbol
_atom_site_fract_x
_atom_site_fract_y
_atom_site_fract_z
_atom_site_occupancy
Ge1 Ge 0.7671 0.6203 0.7879 1
Ge2 Ge 0.2329 0.3797 0.2121 1
Ge3 Ge 0.7329 0.2121 0.3797 1
Ge4 Ge 0.2671 0.7879 0.6203 1
In1 In 0.7500 0.7372 0.2628 1
In2 In 0.2500 0.2628 0.7372 1
K1 K 0.7500 0.0921 0.9079 1
K2 K 0.2500 0.9079 0.0921 1
O1 O 0.6038 0.1958 0.6000 1
O2 O 0.1038 0.6000 0.1958 1
O3 O 0.9623 0.7169 0.6173 1
O4 O 0.2118 0.9878 0.7532 1
O5 O 0.8962 0.4000 0.8042 1
O6 O 0.2882 0.2468 0.0122 1
O7 O 0.0377 0.2831 0.3827 1
O8 O 0.3962 0.8042 0.4000 1
O9 O 0.5377 0.3827 0.2831 1
O10 O 0.7118 0.7532 0.9878 1
O11 O 0.4623 0.6173 0.7169 1
O12 O 0.7882 0.0122 0.2468 1
```

Output
size of the total moment = 0.00 Bohr magnetons per cell
D(E_F) = 0.0 states/eV per cell
E_form (uncorrected) = -1.60 eV/atom

=====

Record 6
The following is a PBE calculation of a relaxed KIn2GeOs crystal, from Alexandria via LeMat-Bulk.

```
data_KIn2GeOs
_space_group_name_H-M_alt 'P 1'
_space_group_IT_number 1
_space_group_name_Hall 'P 1'
_cell_length_a 5.2922
_cell_length_b 5.2922
_cell_length_c 4.8128
_cell_angle_alpha 90.00
_cell_angle_beta 90.00
_cell_angle_gamma 90.00
loop_
_atom_site_label
_atom_site_type_symbol
_atom_site_fract_x
_atom_site_fract_y
_atom_site_fract_z
_atom_site_occupancy
Ge1 Ge 0.0000 0.0000 0.5000 1
Os1 Os 0.0000 0.0000 0.0000 1
K1 K 0.5000 0.5000 0.5000 1
In1 In 0.5000 0.0000 0.0000 1
In2 In 0.0000 0.5000 0.0000 1
```

Output
DFT formation energy = 0.07 eV per atom
size of the total moment = 0.00 Bohr magnetons per cell
D(E_F) = 4.1 states/eV per cell